! Mg4AlGePt2 | the Open Quantum Materials Database | PBE | relaxed; values from VASP
&SYSTEM
  ibrav = 0, nat = 8, ntyp = 4
/
ATOMIC_SPECIES
Mg 24.30 Mg.upf
Pt 195.08 Pt.upf
Ge 72.64 Ge.upf
Al 26.98 Al.upf
CELL_PARAMETERS angstrom
8.573 0.000 0.000
0.000 2.201 3.813
0.000 -2.201 3.813
ATOMIC_POSITIONS angstrom
Mg 1.416 0.000 5.082
Mg 7.156 0.000 5.082
Mg 5.756 0.000 2.542
Mg 2.816 0.000 2.542
Pt 0.000 0.000 2.540
Pt 4.286 0.000 5.087
Ge 4.286 0.000 0.003
Al 0.000 0.000 7.624
! - Total energy: -3.993 eV/atom
! - M_tot: 0.01 Bohr magnetons per cell